Entry 1:
Entry from the Alexandria database: a relaxed Pr2Tm3Pd2 crystal (PBE-GGA). Values from VASP.

Cell and atoms, written as Quantum ESPRESSO input:
```
&SYSTEM
  ibrav = 0, nat = 7, ntyp = 3
/
ATOMIC_SPECIES
Pr 140.91 Pr.upf
Tm 168.93 Tm.upf
Pd 106.42 Pd.upf
ATOMIC_POSITIONS crystal
Pr 0.1535 0.1535 0.3133
Pr 0.8465 0.8465 0.6867
Tm 0.3839 0.3839 0.0575
Tm 0.5000 0.5000 0.5000
Tm 0.6161 0.6161 0.9425
Pd 0.1621 0.1621 0.7414
Pd 0.8379 0.8379 0.2586
CELL_PARAMETERS angstrom
6.3333 -1.8585 0.0000
6.3333 1.8585 0.0000
-4.3228 0.0000 8.0418
```

Computed properties:
The value obtained for the spin magnetization is 0.00 μB per cell. As for the space group: No. 12. Its formation enthalpy at 0 K is -535 meV/atom.

Entry 2:
Entry from the Alexandria database: a relaxed PrTmPd2 crystal (PBE-GGA). Values from VASP.

Cell and atoms, written as Quantum ESPRESSO input:
```
&SYSTEM
  ibrav = 0, nat = 4, ntyp = 3
/
ATOMIC_SPECIES
Pr 140.91 Pr.upf
Tm 168.93 Tm.upf
Pd 106.42 Pd.upf
ATOMIC_POSITIONS crystal
Pr 0.0000 0.0000 0.0000
Tm 0.5000 0.2741 0.2741
Pd 0.0000 0.7268 0.7268
Pd 0.5000 0.5563 0.5563
CELL_PARAMETERS angstrom
4.5986 0.0000 0.0000
0.0000 1.9032 5.3493
0.0000 -1.9032 5.3493
```

Computed properties:
The value obtained for the spin magnetization is 0.00 μB per cell. As for the space group: No. 38. Its formation enthalpy at 0 K is -851 meV/atom.

Entry 3:
Entry from the Alexandria database: a relaxed Pr2TmPd9 crystal (PBE-GGA). Values from VASP.

Cell and atoms, written as Quantum ESPRESSO input:
```
&SYSTEM
  ibrav = 0, nat = 12, ntyp = 3
/
ATOMIC_SPECIES
Pr 140.91 Pr.upf
Tm 168.93 Tm.upf
Pd 106.42 Pd.upf
ATOMIC_POSITIONS crystal
Pr 0.0000 0.0000 0.1717
Pr 0.0000 0.0000 0.8283
Tm 0.0000 0.0000 0.5000
Pd 0.0000 0.5000 0.0000
Pd 0.0000 0.5000 0.3416
Pd 0.0000 0.5000 0.6584
Pd 0.5000 0.0000 0.0000
Pd 0.5000 0.0000 0.3416
Pd 0.5000 0.0000 0.6584
Pd 0.5000 0.5000 0.1693
Pd 0.5000 0.5000 0.5000
Pd 0.5000 0.5000 0.8307
CELL_PARAMETERS angstrom
4.1918 0.0000 0.0000
0.0000 4.1918 0.0000
0.0000 0.0000 12.4716
```

Computed properties:
The value obtained for the spin magnetization is 0.00 μB per cell. As for the space group: No. 123. Its formation enthalpy at 0 K is -792 meV/atom.

Entry 4:
Entry from the Alexandria database: a relaxed PrTm2Pd3 crystal (PBE-GGA). Values from VASP.

Cell and atoms, written as Quantum ESPRESSO input:
```
&SYSTEM
  ibrav = 0, nat = 6, ntyp = 3
/
ATOMIC_SPECIES
Pr 140.91 Pr.upf
Tm 168.93 Tm.upf
Pd 106.42 Pd.upf
ATOMIC_POSITIONS crystal
Pr 0.0000 0.0000 0.0000
Tm 0.0000 0.0000 0.3394
Tm 0.0000 0.0000 0.6606
Pd 0.5000 0.5000 0.1925
Pd 0.5000 0.5000 0.5000
Pd 0.5000 0.5000 0.8075
CELL_PARAMETERS angstrom
3.4737 0.0000 0.0000
0.0000 3.4737 0.0000
0.0000 0.0000 10.8420
```

Computed properties:
The value obtained for the spin magnetization is 0.00 μB per cell. As for the space group: No. 123. Its formation enthalpy at 0 K is -866 meV/atom.

What is the spin magnetization in the third record?
0.00 μB per cell